[1]
Pm3PrSmSc (GGA-PBE, optimized geometry); density of states at the Fermi level = 19.4 states/eV per cell; calculated total energy = -59.66 eV/cell
1.0
8.0089 0.0000 0.0000
0.0000 5.1104 0.0000
-3.2616 0.0000 9.6319
Pm Pr Sm Sc
6 2 2 2
direct
0.1699 0.2500 0.0453
0.1712 0.7500 0.7891
0.1778 0.2500 0.5415
0.8222 0.7500 0.4585
0.8288 0.2500 0.2109
0.8301 0.7500 0.9547
0.1756 0.7500 0.2974
0.8244 0.2500 0.7026
0.5002 0.2500 0.8719
0.4998 0.7500 0.1281
0.4993 0.2500 0.3790
0.5007 0.7500 0.6210

=====

[2]
Pm2Pr4SmSc (GGA-PBE, optimized geometry); density of states at the Fermi level = 11.2 states/eV per cell; calculated total energy = -39.45 eV/cell
1.0
5.1401 0.0000 0.0000
0.0000 5.1610 0.0000
0.0000 0.0000 10.2041
Pm Pr Sm Sc
2 4 1 1
direct
0.0000 0.0000 0.0000
0.5000 0.5000 0.5000
0.0000 0.5000 0.2436
0.0000 0.5000 0.7564
0.5000 0.0000 0.2442
0.5000 0.0000 0.7558
0.0000 0.0000 0.5000
0.5000 0.5000 0.0000

=====

[3]
PmPrSmSc (GGA-PBE, optimized geometry); density of states at the Fermi level = 7.9 states/eV per cell; calculated total energy = -20.08 eV/cell
1.0
0.0000 4.0057 4.0057
4.0057 0.0000 4.0057
4.0057 4.0057 0.0000
Pm Pr Sm Sc
1 1 1 1
direct
0.0000 0.0000 0.0000
0.5000 0.5000 0.5000
0.2500 0.2500 0.2500
0.7500 0.7500 0.7500

=====

[4]
PmPr2Sm5Sc (GGA-PBE, optimized geometry); density of states at the Fermi level = 27.5 states/eV per cell; calculated total energy = -83.50 eV/cell
1.0
-4.3321 4.3321 8.0879
4.3321 -4.3321 8.0879
4.3321 4.3321 -8.0879
Pm Pr Sm Sc
2 4 10 2
direct
0.2500 0.2500 0.0000
0.7500 0.7500 0.0000
0.1213 0.6213 0.7427
0.3787 0.1213 0.5000
0.6213 0.8787 0.5000
0.8787 0.3787 0.2573
0.0000 0.0000 0.0000
0.0674 0.1458 0.5000
0.1458 0.6458 0.0784
0.3542 0.4326 0.5000
0.4326 0.9326 0.0784
0.5000 0.5000 0.0000
0.5674 0.0674 0.9216
0.6458 0.5674 0.5000
0.8542 0.3542 0.9216
0.9326 0.8542 0.5000
0.2500 0.7500 0.5000
0.7500 0.2500 0.5000

=====

[5]
PmPrSm2Sc (GGA-PBE, optimized geometry); density of states at the Fermi level = 14.0 states/eV per cell; calculated total energy = -48.49 eV/cell
1.0
6.2948 0.0000 0.0000
0.0000 7.8797 0.0000
0.0000 0.0000 6.6400
Pm Pr Sm Sc
2 2 4 2
direct
0.2500 0.0000 0.0919
0.7500 0.0000 0.9081
0.2500 0.5000 0.2998
0.7500 0.5000 0.7002
0.2500 0.2895 0.7764
0.2500 0.7105 0.7764
0.7500 0.2895 0.2236
0.7500 0.7105 0.2236
0.0000 0.0000 0.5000
0.5000 0.0000 0.5000

=====

[6]
Pm2PrSm5Sc (GGA-PBE, optimized geometry); density of states at the Fermi level = 26.9 states/eV per cell; calculated total energy = -85.61 eV/cell
1.0
2.8333 -10.1222 0.0000
2.8333 10.1222 0.0000
0.0000 0.0000 10.5226
Pm Pr Sm Sc
4 2 10 2
direct
0.1146 0.8854 0.5000
0.1156 0.8844 0.9224
0.8844 0.1156 0.4224
0.8854 0.1146 0.0000
0.4090 0.5910 0.6493
0.5910 0.4090 0.1493
0.0154 0.9846 0.2036
0.2763 0.7237 0.5086
0.2946 0.7054 0.8923
0.3735 0.6265 0.2061
0.4843 0.5157 0.9316
0.5157 0.4843 0.4316
0.6265 0.3735 0.7061
0.7054 0.2946 0.3923
0.7237 0.2763 0.0086
0.9846 0.0154 0.7036
0.1966 0.8034 0.2009
0.8034 0.1966 0.7009